(1)
Computed, not measured: CaLa5PrNd2 after structural relaxation at the GGA-PBE level of DFT.

Calculated values
Density of states at the Fermi level, states/eV/cell: 58.69
Energy, eV per atom: -4.305
V, Å³/cell: 1359.7
ΔH_f (0 K), eV/atom: 0.245

Cell: 9.4502 9.4502 15.2251 Å, 90.00 90.00 90.00°
Last column: nearest neighbours and their distance in Å.
Space group I4/mcm (No. 140)
Asymmetric unit:
Ca1 0.0000 0.5000 0.2500 [4 per cell]  4 La 3.33
La1 0.0000 0.0000 0.0000 [4 per cell]  2 Pr 3.81, 4 Nd 3.81, 8 La 3.92
La2 0.2071 0.2929 0.1288 [16 per cell]  1 Nd 3.11, 1 Ca 3.33
Pr1 0.0000 0.0000 0.2500 [4 per cell]  10 La 3.81-3.86
Nd1 0.1126 0.3874 0.5000 [8 per cell]  1 Nd 3.01, 2 La 3.11



(2)
Computed, not measured: CaLa6Pr2Nd after structural relaxation at the GGA-PBE level of DFT.

Calculated values
Density of states at the Fermi level, states/eV/cell: 52.39
Energy, eV per atom: -4.475
V, Å³/cell: 1475.0
ΔH_f (0 K), eV/atom: 0.114

Cell: 9.9919 15.4953 9.5289 Å, 90.00 91.12 90.00°
Last column: nearest neighbours and their distance in Å.
Space group C2/c (No. 15)
Asymmetric unit:
Ca1 0.0000 0.0747 0.2500 [4 per cell]  6 La 3.54-3.78, 2 Pr 3.59
La1 0.0753 0.1451 0.5995 [8 per cell]  4 La 3.26-3.64, 1 Ca 3.57, 1 Pr 3.64
La2 0.0778 0.3486 0.4091 [8 per cell]  4 La 3.38-3.64, 1 Nd 3.58, 2 Pr 3.63-3.78
La3 0.2408 0.2773 0.8246 [8 per cell]  3 La 3.38-3.49, 1 Nd 3.44, 1 Ca 3.54, 2 Pr 3.57-3.73
Pr1 0.2458 0.4538 0.0660 [8 per cell]  2 Nd 3.54-3.87, 7 La 3.57-3.93, 1 Ca 3.59
Nd1 0.0000 0.4298 0.7500 [4 per cell]  6 La 3.44-3.83, 2 Pr 3.54



(3)
Computed, not measured: CaLa2Pr6Nd after structural relaxation at the GGA-PBE level of DFT.

Calculated values
Density of states at the Fermi level, states/eV/cell: 61.46
Energy, eV per atom: -4.418
V, Å³/cell: 1480.4
ΔH_f (0 K), eV/atom: 0.112

Cell: 9.3382 15.7347 10.2333 Å, 90.00 100.09 90.00°
Last column: nearest neighbours and their distance in Å.
Space group C2/c (No. 15)
Asymmetric unit:
Ca1 0.0000 0.1003 0.2500 [4 per cell]  8 Pr 3.64-4.00, 2 La 3.69
La1 0.2488 0.0478 0.9571 [8 per cell]  5 Pr 3.37-3.61, 2 Nd 3.50-3.58, 1 Ca 3.69
Pr1 0.0631 0.3194 0.4500 [8 per cell]  5 Pr 3.50-3.87, 1 La 3.61, 1 Nd 3.73
Pr2 0.1065 0.1068 0.6231 [8 per cell]  3 Pr 3.37-3.54, 3 La 3.37-3.57, 1 Ca 3.71
Pr3 0.1948 0.2755 0.8238 [8 per cell]  5 Pr 3.37-3.76, 1 La 3.55, 1 Ca 3.64, 1 Nd 3.74
Nd1 0.0000 0.4820 0.7500 [4 per cell]  4 La 3.50-3.58, 4 Pr 3.73-3.74



(4)
Computed, not measured: CaLa5Pr2Nd after structural relaxation at the GGA-PBE level of DFT.

Calculated values
Density of states at the Fermi level, states/eV/cell: 59.11
Energy, eV per atom: -4.307
V, Å³/cell: 1359.5
ΔH_f (0 K), eV/atom: 0.245

Cell: 9.4037 9.4037 15.3734 Å, 90.00 90.00 90.00°
Last column: nearest neighbours and their distance in Å.
Space group I4/mcm (No. 140)
Asymmetric unit:
Ca1 0.0000 0.5000 0.2500 [4 per cell]  4 La 3.33
La1 0.0000 0.0000 0.0000 [4 per cell]  4 Pr 3.79, 2 Nd 3.84, 8 La 3.92
La2 0.2090 0.2910 0.1308 [16 per cell]  1 Pr 3.10, 1 Ca 3.33
Pr1 0.1138 0.3862 0.5000 [8 per cell]  1 Pr 3.03, 2 La 3.10
Nd1 0.0000 0.0000 0.2500 [4 per cell]  10 La 3.84



(5)
Computed, not measured: CaLaPr6Nd2 after structural relaxation at the GGA-PBE level of DFT.

Calculated values
Density of states at the Fermi level, states/eV/cell: 56.92
Energy, eV per atom: -4.404
V, Å³/cell: 1480.4
ΔH_f (0 K), eV/atom: 0.110

Cell: 9.3999 15.9146 9.9674 Å, 90.00 96.85 90.00°
Last column: nearest neighbours and their distance in Å.
Space group C2/c (No. 15)
Asymmetric unit:
Ca1 0.0000 0.0270 0.2500 [4 per cell]  4 Nd 3.53-3.54, 4 Pr 3.81-3.92
La1 0.0000 0.4061 0.7500 [4 per cell]  8 Pr 3.61-4.01, 4 Nd 3.79-4.04
Pr1 0.0607 0.1860 0.9451 [8 per cell]  7 Pr 3.52-3.92, 1 Nd 3.57, 1 Ca 3.92
Pr2 0.1049 0.3951 0.1183 [8 per cell]  3 Pr 3.35-3.52, 3 Nd 3.41-3.58, 2 La 3.61-3.69
Pr3 0.2054 0.2317 0.3190 [8 per cell]  4 Pr 3.35-3.70, 2 Nd 3.58-3.66, 1 La 3.66
Nd1 0.2463 0.0555 0.5436 [8 per cell]  6 Pr 3.41-3.66, 2 Ca 3.53-3.54, 1 La 3.79



(6)
Computed, not measured: CaLaPr2Nd4 after structural relaxation at the GGA-PBE level of DFT.

Calculated values
Density of states at the Fermi level, states/eV/cell: 69.38
Energy, eV per atom: -4.101
V, Å³/cell: 1178.0
ΔH_f (0 K), eV/atom: 0.344

Cell: 14.0843 13.7365 7.0229 Å, 90.00 119.89 90.00°
Last column: nearest neighbours and their distance in Å.
Space group C2/c (No. 15)
Asymmetric unit:
Ca1 0.0000 0.0000 0.0000 [4 per cell]  6 Nd 3.42-3.64, 2 Ca 3.51
La1 0.2500 0.2500 0.0000 [4 per cell]  6 Nd 3.44-3.53, 2 Pr 3.51
Pr1 0.0000 0.5000 0.0000 [4 per cell]  6 Nd 3.40-3.45, 2 Pr 3.51
Pr2 0.2500 0.2500 0.5000 [4 per cell]  6 Nd 3.44-3.51, 2 La 3.51
Nd1 0.0001 0.2487 0.0028 [8 per cell]  1 Ca 3.42, 3 Pr 3.45-3.51, 2 Nd 3.47-3.55, 2 La 3.53
Nd2 0.2402 0.4999 0.4853 [8 per cell]  3 Pr 3.40-3.44, 1 La 3.44, 2 Nd 3.51, 2 Ca 3.61-3.64



(7)
Computed, not measured: CaLaNdSc after structural relaxation at the GGA-PBE level of DFT.

Calculated values
Density of states at the Fermi level, states/eV/cell: 21.21
Energy, eV per atom: -4.383
V, Å³/cell: 539.6
ΔH_f (0 K), eV/atom: 0.124

Cell: 8.1414 8.1414 8.1414 Å, 90.00 90.00 90.00°
Last column: nearest neighbours and their distance in Å.
Space group F-43m (No. 216)
Asymmetric unit:
Ca1 0.0000 0.0000 0.0000 [4 per cell]  4 La 3.53, 4 Nd 3.53
La1 0.2500 0.2500 0.2500 [4 per cell]  4 Sc 3.53, 4 Ca 3.53
Nd1 0.2500 0.2500 0.7500 [4 per cell]  4 Ca 3.53, 4 Sc 3.53
Sc1 0.0000 0.0000 0.5000 [4 per cell]  4 La 3.53, 4 Nd 3.53



(8)
Computed, not measured: CaLa2NdSe4 after structural relaxation at the GGA-PBE level of DFT.

Calculated values
Density of states at the Fermi level, states/eV/cell: 3.91
Energy, eV per atom: -5.764
V, Å³/cell: 219.8
ΔE_f (raw), eV per atom: -1.94

Cell: 7.3886 4.2489 7.4146 Å, 90.00 109.20 90.00°
Last column: nearest neighbours and their distance in Å.
Space group P2/m (No. 10)
Asymmetric unit:
Ca1 0.0000 0.0000 0.0000 [1 per cell]  6 Se 2.96-2.97
La1 0.5000 0.0000 0.5000 [1 per cell]  6 Se 3.07
La2 0.5000 0.5000 0.0000 [1 per cell]  6 Se 3.04
Nd1 0.0000 0.5000 0.5000 [1 per cell]  6 Se 3.00
Se1 0.2402 0.5000 0.2432 [2 per cell]  2 Ca 2.97, 1 Nd 3.00, 3 La 3.04-3.07
Se2 0.2421 0.0000 0.7518 [2 per cell]  1 Ca 2.96, 2 Nd 3.00, 3 La 3.04-3.07